Version A
This record from OQMD via LeMat-Bulk describes crystalline CoSiMoPt at its relaxed geometry. The functional is GGA-PBE.

```
CoSiMoPt
1.0
0.000 3.013 3.013
3.013 0.000 3.013
3.013 3.013 0.000
Co Mo Pt Si
1 1 1 1
direct
0.750 0.750 0.750 Co
0.250 0.250 0.250 Mo
0.500 0.500 0.500 Pt
0.000 0.000 0.000 Si
```



Version B
This record from OQMD via LeMat-Bulk describes crystalline CoSiMoPt at its relaxed geometry. The functional is GGA-PBE.

```
CoSiMoPt
1.0
0.000 3.027 3.027
3.027 0.000 3.027
3.027 3.027 0.000
Co Mo Pt Si
1 1 1 1
direct
0.750 0.750 0.750 Co
0.500 0.500 0.500 Mo
0.250 0.250 0.250 Pt
0.000 0.000 0.000 Si
```



Energies in kJ/mol of atoms, measured from the most stable structure: version A 0.0; version B 20.8.



Version A
This record from OQMD via LeMat-Bulk describes crystalline TlCoMoPt at its relaxed geometry. The functional is GGA-PBE.

```
TlCoMoPt
1.0
0.000 3.191 3.191
3.191 0.000 3.191
3.191 3.191 0.000
Co Mo Pt Tl
1 1 1 1
direct
0.750 0.750 0.750 Co
0.500 0.500 0.500 Mo
0.250 0.250 0.250 Pt
0.000 0.000 0.000 Tl
```



Version B
This record from OQMD via LeMat-Bulk describes crystalline TlCoMoPt at its relaxed geometry. The functional is GGA-PBE.

```
TlCoMoPt
1.0
0.000 3.171 3.171
3.171 0.000 3.171
3.171 3.171 0.000
Co Mo Pt Tl
1 1 1 1
direct
0.750 0.750 0.750 Co
0.250 0.250 0.250 Mo
0.500 0.500 0.500 Pt
0.000 0.000 0.000 Tl
```



Energies in kJ/mol of atoms, measured from the most stable structure: version A 4.2; version B 0.0.



Version A
This record from OQMD via LeMat-Bulk describes crystalline ZnCoMoPt at its relaxed geometry. The functional is GGA-PBE.

```
ZnCoMoPt
1.0
0.000 3.052 3.052
3.052 0.000 3.052
3.052 3.052 0.000
Co Mo Pt Zn
1 1 1 1
direct
0.750 0.750 0.750 Co
0.250 0.250 0.250 Mo
0.500 0.500 0.500 Pt
0.000 0.000 0.000 Zn
```



Version B
This record from OQMD via LeMat-Bulk describes crystalline ZnCoMoPt at its relaxed geometry. The functional is GGA-PBE.

```
ZnCoMoPt
1.0
0.000 3.055 3.055
3.055 0.000 3.055
3.055 3.055 0.000
Co Mo Pt Zn
1 1 1 1
direct
0.750 0.750 0.750 Co
0.500 0.500 0.500 Mo
0.250 0.250 0.250 Pt
0.000 0.000 0.000 Zn
```



Energies in kJ/mol of atoms, measured from the most stable structure: version A 9.8; version B 0.0.



Version A
This record from OQMD via LeMat-Bulk describes crystalline PuCoMo at its relaxed geometry. The functional is GGA-PBE.

```
PuCoMo
1.0
0.000 2.968 2.968
2.968 0.000 2.968
2.968 2.968 0.000
Co Mo Pu
1 1 1
direct
0.250 0.250 0.250 Co
0.000 0.000 0.000 Mo
0.750 0.750 0.750 Pu
```



Version B
This record from OQMD via LeMat-Bulk describes crystalline PuCoMo at its relaxed geometry. The functional is GGA-PBE.

```
PuCoMo
1.0
1.115 -3.964 -0.880
-2.447 -3.198 1.231
-2.166 -2.213 -2.853
Co Mo Pu
1 1 1
direct
0.000 0.000 0.000 Co
0.500 0.500 0.500 Mo
0.250 0.250 0.250 Pu
```



Energies in kJ/mol of atoms, measured from the most stable structure: version A 0.0; version B 45.9.